Entry 1:
The following is a DFT calculation (PBE) of Li2InH after structural relaxation.

Geometry as POSCAR:
```
Li2InH
1.0
1.553 0.896 7.182
-1.553 0.896 7.182
0.000 -1.793 7.182
Li In H
2 1 1
direct
0.000 0.000 0.000 Li
0.228 0.228 0.228 Li
0.782 0.782 0.782 In
0.616 0.616 0.616 H
```

## Properties
Energy relative to the lowest polymorph listed for this composition, eV per atom: 0.025

Entry 2:
The following is a DFT calculation (PBE) of LiInH after structural relaxation.

Geometry as POSCAR:
```
LiInH
1.0
3.150 0.000 0.000
-1.575 2.728 0.000
0.000 0.000 5.933
Li In H
1 1 1
direct
0.000 0.000 0.000 Li
0.333 0.667 0.500 In
0.667 0.333 0.001 H
```

## Properties
Energy relative to the lowest polymorph listed for this composition, eV per atom: 0.080

Entry 3:
The following is a DFT calculation (PBE) of LiIn2H2 after structural relaxation.

Geometry as POSCAR:
```
LiIn2H2
1.0
-1.692 1.692 6.849
1.692 -1.692 6.849
1.692 1.692 -6.849
Li In H
1 2 2
direct
0.000 0.000 0.000 Li
0.358 0.358 0.000 In
0.642 0.642 0.000 In
0.250 0.750 0.500 H
0.750 0.250 0.500 H
```

## Properties
Energy relative to the lowest polymorph listed for this composition, eV per atom: 0.122

Entry 4:
The following is a DFT calculation (PBE) of Li4In2H after structural relaxation.

Geometry as POSCAR:
```
Li4In2H
1.0
-1.968 1.968 7.321
1.968 -1.968 7.321
1.968 1.968 -7.321
Li In H
4 2 1
direct
0.000 0.500 0.500 Li
0.128 0.128 0.000 Li
0.500 0.000 0.500 Li
0.872 0.872 0.000 Li
0.316 0.316 0.000 In
0.684 0.684 0.000 In
0.000 0.000 0.000 H
```

## Properties
Uncorrected energy, eV per cell: -17.83

Entry 5:
The following is a DFT calculation (PBE) of LiIn3H after structural relaxation.

Geometry as POSCAR:
```
LiIn3H
1.0
4.693 0.000 0.000
0.000 4.693 0.000
0.000 0.000 4.693
Li In H
1 3 1
direct
0.000 0.000 0.000 Li
0.000 0.500 0.500 In
0.500 0.000 0.500 In
0.500 0.500 0.000 In
0.500 0.500 0.500 H
```

## Properties
Energy relative to the lowest polymorph listed for this composition, eV per atom: 0.000

Entry 6:
The following is a DFT calculation (PBE) of LiInH after structural relaxation.

Geometry as POSCAR:
```
LiInH
1.0
5.144 0.000 0.000
0.000 3.519 0.000
-1.509 0.000 5.153
Li In H
2 2 2
direct
0.001 0.250 0.288 Li
0.999 0.750 0.712 Li
0.471 0.750 0.237 In
0.529 0.250 0.763 In
0.132 0.250 0.663 H
0.868 0.750 0.337 H
```

## Properties
Energy relative to the lowest polymorph listed for this composition, eV per atom: 0.000

Entry 7:
The following is a DFT calculation (PBE) of LiInH after structural relaxation.

Geometry as POSCAR:
```
LiInH
1.0
-1.494 1.494 5.388
1.494 -1.494 5.388
1.494 1.494 -5.388
Li In H
1 1 1
direct
0.000 0.000 0.000 Li
0.722 0.722 0.000 In
0.518 0.518 0.000 H
```

## Properties
Energy relative to the lowest polymorph listed for this composition, eV per atom: 0.073

Entry 8:
The following is a DFT calculation (PBE) of Li2InH after structural relaxation.

Geometry as POSCAR:
```
Li2InH
1.0
1.548 0.894 7.208
-1.548 0.894 7.208
0.000 -1.788 7.208
Li In H
2 1 1
direct
0.219 0.219 0.219 Li
0.781 0.781 0.781 Li
0.000 0.000 0.000 In
0.500 0.500 0.500 H
```

## Properties
Energy relative to the lowest polymorph listed for this composition, eV per atom: 0.026

Entry 9:
The following is a DFT calculation (PBE) of Li2InH after structural relaxation.

Geometry as POSCAR:
```
Li2InH
1.0
2.888 0.000 0.000
0.000 2.888 0.000
0.000 0.000 7.232
Li In H
2 1 1
direct
0.000 0.000 0.178 Li
0.000 0.000 0.822 Li
0.500 0.500 0.500 In
0.500 0.500 0.000 H
```

## Properties
Energy relative to the lowest polymorph listed for this composition, eV per atom: 0.142

Entry 10:
The following is a DFT calculation (PBE) of LiIn3H after structural relaxation.

Geometry as POSCAR:
```
LiIn3H
1.0
4.988 0.000 0.000
0.000 4.988 0.000
0.000 0.000 4.988
Li In H
1 3 1
direct
0.000 0.000 0.000 Li
0.000 0.000 0.500 In
0.000 0.500 0.000 In
0.500 0.000 0.000 In
0.500 0.500 0.500 H
```

## Properties
Energy relative to the lowest polymorph listed for this composition, eV per atom: 0.404

| no. | total magnetic moment (Bohr magnetons per cell) |
| --- | --- |
| 1 | 0.00 |
| 2 | 0.00 |
| 3 | 0.00 |
| 4 | 0.00 |
| 5 | 0.00 |
| 6 | 0.00 |
| 7 | 0.00 |
| 8 | 0.00 |
| 9 | 0.00 |
| 10 | 0.00 |